(1)
Computed, not measured: ZrTi2Ga4 after structural relaxation at the PBE level of DFT.

The value obtained for the calculated formation energy is -0.52 eV per atom. The value obtained for the density of states at the Fermi level is 6.7 states/eV/f.u. The calculation puts the total energy at -5.726 eV per atom.

The space group is I4/mmm (No. 139) and the conventional cell measures 6.571, 6.571 and 5.464 Å, with angles of 90.00, 90.00 and 90.00 degrees. The inequivalent atoms are Zr at (0.000, 0.000, 0.000), Ti at (0.000, 0.500, 0.250) and Ga at (0.196, 0.196, 0.500).

(2)
Computed, not measured: Bi3Pd4 after structural relaxation at the PBE level of DFT.

The value obtained for the calculated formation energy is -0.24 eV per atom. The value obtained for the density of states at the Fermi level is 3.2 states/eV/f.u. The calculation puts the excess energy over the best structure of this formula in the dataset at 0.0023 eV/atom. The calculation puts the total energy at -4.875 eV per atom.

The space group is Cmcm (No. 63) and the conventional cell measures 3.858, 10.550 and 14.551 Å, with angles of 90.00, 90.00 and 90.00 degrees. The inequivalent atoms are Bi at (0.000, 0.074, 0.250), Bi at (0.000, 0.343, 0.099), Pd at (0.000, 0.000, 0.000), Pd at (0.000, 0.198, 0.750) and Pd at (0.000, 0.370, 0.601).

(3)
Computed, not measured: CaYIn2 after structural relaxation at the PBE level of DFT.

The value obtained for the calculated formation energy is 0.25 eV per atom. The value obtained for the density of states at the Fermi level is 4.6 states/eV/f.u. The calculation puts the total energy at -3.238 eV per atom.

The space group is Immm (No. 71) and the conventional cell measures 3.524, 6.068 and 12.812 Å, with angles of 90.00, 90.00 and 90.00 degrees. The inequivalent atoms are Ca at (0.000, 0.000, 0.000), Y at (0.000, 0.000, 0.500) and In at (0.000, 0.000, 0.252).

(4)
Computed, not measured: La5Nd6Ho2 after structural relaxation at the PBE level of DFT.

The value obtained for the calculated formation energy is 0.08 eV per atom. The value obtained for the density of states at the Fermi level is 16.3 states/eV/f.u. The calculation puts the total energy at -4.718 eV per atom.

The space group is Pbam (No. 55) and the conventional cell measures 11.895, 21.194 and 3.683 Å, with angles of 90.00, 90.00 and 90.00 degrees. The inequivalent atoms are La at (0.000, 0.000, 0.000), La at (0.084, 0.271, 0.000), La at (0.197, 0.551, 0.000), Nd at (0.062, 0.418, 0.500), Nd at (0.085, 0.130, 0.500), Nd at (0.173, 0.859, 0.000) and Ho at (0.170, 0.709, 0.500).

(5)
Computed, not measured: UCuPt3 after structural relaxation at the PBE level of DFT.

The value obtained for the calculated formation energy is -0.22 eV per atom. The value obtained for the density of states at the Fermi level is 5.5 states/eV/f.u. The calculation puts the total energy at -6.917 eV per atom.

The space group is C2/m (No. 12) and the conventional cell measures 12.713, 2.947 and 10.734 Å, with angles of 90.00, 116.71 and 90.00 degrees. The inequivalent atoms are U at (0.067, 0.000, 0.206), Cu at (0.204, 0.000, 0.782), Pt at (0.017, 0.500, 0.637), Pt at (0.153, 0.000, 0.005) and Pt at (0.216, 0.500, 0.584).

(6)
Computed, not measured: GeBO4 after structural relaxation at the PBE level of DFT.

The value obtained for the energy relative to the elements, uncorrected is -8.669 eV/f.u. The value obtained for the density of states at the Fermi level is 4.4 states/eV/f.u. The calculation puts the total energy at -6.633 eV per atom.

The space group is P-42c (No. 112) and the conventional cell measures 4.177, 4.177 and 7.672 Å, with angles of 90.00, 90.00 and 90.00 degrees. The inequivalent atoms are Ge at (0.000, 0.500, 0.250), B at (0.000, 0.000, 0.000) and O at (0.193, 0.222, 0.392).